1.
DFT (PBE) results for a relaxed SbP2N crystal.

## Properties
- D(E_F): 2.67 states/eV/f.u.
- E above lowest polymorph: 0.7570 eV/atom
- Formation energy (no corrections): 1.50 eV per atom
- Total magnetic moment: 0.154 μB/atom

a = 6.290 Å, b = 6.290 Å, c = 6.290 Å
α = 90.00°, β = 90.00°, γ = 90.00°
Space group Fm-3m (No. 225)
Inequivalent atoms, fractional coordinates:
Sb: 0.000 0.000 0.000 x4
P: 0.250 0.250 0.250 x8
N: 0.000 0.000 0.500 x4

2.
DFT (PBE) results for a relaxed SbP2N crystal.

## Properties
- D(E_F): 1.95 states/eV/f.u.
- E above lowest polymorph: 0.0000 eV/atom
- Formation energy (no corrections): 0.74 eV per atom
- Total magnetic moment: 0.000 μB/atom

a = 4.966 Å, b = 4.966 Å, c = 11.645 Å
α = 90.00°, β = 90.00°, γ = 90.00°
Space group I-42d (No. 122)
Inequivalent atoms, fractional coordinates:
Sb: 0.000 0.000 0.000 x4
P: 0.105 0.250 0.625 x8
N: 0.000 0.000 0.500 x4

3.
DFT (PBE) results for a relaxed SbPN crystal.

## Properties
- Formation energy (no corrections): 0.11 eV per atom
- Total magnetic moment: 0.000 μB/atom

a = 3.740 Å, b = 3.743 Å, c = 15.329 Å
α = 84.86°, β = 83.61°, γ = 60.03°
Space group P-1 (No. 2)
Inequivalent atoms, fractional coordinates:
Sb: 0.107 0.110 0.213 x2
P: 0.192 0.206 0.881 x2
N: 0.432 0.096 0.529 x2

4.
DFT (PBE) results for a relaxed SbPN3 crystal.

## Properties
- D(E_F): 2.19 states/eV/f.u.
- Formation energy (no corrections): 1.91 eV per atom
- Total magnetic moment: 0.000 μB/atom

a = 3.998 Å, b = 3.998 Å, c = 3.998 Å
α = 90.00°, β = 90.00°, γ = 90.00°
Space group Pm-3m (No. 221)
Inequivalent atoms, fractional coordinates:
Sb: 0.000 0.000 0.000 x1
P: 0.500 0.500 0.500 x1
N: 0.000 0.000 0.500 x3

5.
DFT (PBE) results for a relaxed SbPN3 crystal.

## Properties
- D(E_F): 1.47 states/eV/f.u.
- Formation energy (no corrections): 0.83 eV per atom
- Total magnetic moment: 0.000 μB/atom

a = 3.619 Å, b = 3.619 Å, c = 3.619 Å
α = 90.00°, β = 90.00°, γ = 90.00°
Space group Pm-3m (No. 221)
Inequivalent atoms, fractional coordinates:
Sb: 0.000 0.000 0.000 x1
P: 0.500 0.500 0.500 x1
N: 0.000 0.500 0.500 x3

6.
DFT (PBE) results for a relaxed Sm3SbPN crystal.

## Properties
- D(E_F): 0.65 states/eV/f.u.
- Formation energy (no corrections): -1.28 eV per atom
- Total magnetic moment: 0.000 μB/atom

a = 8.764 Å, b = 4.170 Å, c = 9.366 Å
α = 90.00°, β = 102.17°, γ = 90.00°
Space group P2_1/m (No. 11)
Inequivalent atoms, fractional coordinates:
Sm: 0.075 0.250 0.350 x2
Sm: 0.339 0.250 0.984 x2
Sm: 0.386 0.750 0.661 x2
Sb: 0.318 0.750 0.282 x2
P: 0.152 0.250 0.654 x2
N: 0.408 0.750 0.899 x2

7.
DFT (PBE) results for a relaxed Sr2SbP2N6 crystal.

## Properties
- D(E_F): 1.00 states/eV/f.u.
- Formation energy (no corrections): -0.43 eV per atom
- Total magnetic moment: 0.000 μB/atom

a = 5.5970 Å, b = 5.5970 Å, c = 17.1202 Å
α = 90.00°, β = 90.00°, γ = 120.00°
Space group R-3m (No. 166, hexagonal axes)
Inequivalent atoms, fractional coordinates:
Sr: 0.0000 0.0000 0.2132 x6
Sb: 0.0000 0.0000 0.0000 x3
P: 0.0000 0.0000 0.4167 x6
N: 0.0046 0.5023 0.2514 x18

8.
DFT (PBE) results for a relaxed Tb3SbPN crystal.

## Properties
- D(E_F): 0.44 states/eV/f.u.
- Formation energy (no corrections): -1.32 eV per atom
- Total magnetic moment: 0.000 μB/atom

a = 8.646 Å, b = 4.085 Å, c = 9.180 Å
α = 90.00°, β = 101.84°, γ = 90.00°
Space group P2_1/m (No. 11)
Inequivalent atoms, fractional coordinates:
Tb: 0.077 0.250 0.353 x2
Tb: 0.342 0.250 0.986 x2
Tb: 0.383 0.750 0.662 x2
Sb: 0.321 0.750 0.285 x2
P: 0.150 0.250 0.657 x2
N: 0.407 0.750 0.900 x2

9.
DFT (PBE) results for a relaxed Tb4SbP2N crystal.

## Properties
- D(E_F): 0.80 states/eV/f.u.
- Formation energy (no corrections): -1.40 eV per atom
- Total magnetic moment: 0.000 μB/atom

a = 3.972 Å, b = 13.996 Å, c = 13.962 Å
α = 90.00°, β = 90.00°, γ = 90.00°
Space group Cmcm (No. 63)
Inequivalent atoms, fractional coordinates:
Tb: 0.000 0.000 0.000 x4
Tb: 0.000 0.255 0.123 x8
Tb: 0.000 0.420 0.750 x4
Sb: 0.000 0.102 0.750 x4
P: 0.000 0.369 0.550 x8
N: 0.000 0.164 0.250 x4

10.
DFT (PBE) results for a relaxed TcSbPN2 crystal.

## Properties
- D(E_F): 4.44 states/eV/f.u.
- Formation energy (no corrections): 1.28 eV per atom
- Total magnetic moment: 0.271 μB/atom

a = 3.640 Å, b = 3.640 Å, c = 5.198 Å
α = 90.00°, β = 90.00°, γ = 90.00°
Space group P4/mmm (No. 123)
Inequivalent atoms, fractional coordinates:
Tc: 0.000 0.000 0.000 x1
Sb: 0.500 0.500 0.000 x1
P: 0.000 0.000 0.500 x1
N: 0.000 0.500 0.500 x2

11.
DFT (PBE) results for a relaxed SbTe2PN crystal.

## Properties
- D(E_F): 4.83 states/eV/f.u.
- E above lowest polymorph: 0.6893 eV/atom
- Formation energy (no corrections): 1.20 eV per atom
- Total magnetic moment: 0.000 μB/atom

a = 5.762 Å, b = 5.762 Å, c = 3.912 Å
α = 90.00°, β = 90.00°, γ = 90.00°
Space group P4/mmm (No. 123)
Inequivalent atoms, fractional coordinates:
Sb: 0.000 0.000 0.000 x1
Te: 0.000 0.500 0.000 x2
P: 0.500 0.500 0.500 x1
N: 0.000 0.000 0.500 x1

12.
DFT (PBE) results for a relaxed SbTe2PN crystal.

## Properties
- D(E_F): 3.26 states/eV/f.u.
- E above lowest polymorph: 0.4269 eV/atom
- Formation energy (no corrections): 0.94 eV per atom
- Total magnetic moment: 0.000 μB/atom

a = 4.669 Å, b = 4.669 Å, c = 4.900 Å
α = 90.00°, β = 90.00°, γ = 90.00°
Space group P4/mmm (No. 123)
Inequivalent atoms, fractional coordinates:
Sb: 0.000 0.000 0.000 x1
Te: 0.000 0.500 0.500 x2
P: 0.500 0.500 0.000 x1
N: 0.000 0.000 0.500 x1

13.
DFT (PBE) results for a relaxed SbTePN2 crystal.

## Properties
- D(E_F): 2.26 states/eV/f.u.
- E above lowest polymorph: 0.0000 eV/atom
- Formation energy (no corrections): 1.36 eV per atom
- Total magnetic moment: 0.103 μB/atom

a = 3.978 Å, b = 3.978 Å, c = 5.158 Å
α = 90.00°, β = 90.00°, γ = 90.00°
Space group P4/mmm (No. 123)
Inequivalent atoms, fractional coordinates:
Sb: 0.000 0.000 0.000 x1
Te: 0.500 0.500 0.000 x1
P: 0.500 0.500 0.500 x1
N: 0.000 0.500 0.500 x2

14.
DFT (PBE) results for a relaxed SbTe2PN crystal.

## Properties
- D(E_F): 2.00 states/eV/f.u.
- E above lowest polymorph: 0.0000 eV/atom
- Formation energy (no corrections): 0.51 eV per atom
- Total magnetic moment: 0.000 μB/atom

a = 6.005 Å, b = 6.005 Å, c = 3.234 Å
α = 90.00°, β = 90.00°, γ = 90.00°
Space group P4/mmm (No. 123)
Inequivalent atoms, fractional coordinates:
Sb: 0.000 0.000 0.000 x1
Te: 0.000 0.500 0.500 x2
P: 0.500 0.500 0.500 x1
N: 0.500 0.500 0.000 x1

15.
DFT (PBE) results for a relaxed SbTePN2 crystal.

## Properties
- D(E_F): 3.05 states/eV/f.u.
- E above lowest polymorph: 0.0667 eV/atom
- Formation energy (no corrections): 1.43 eV per atom
- Total magnetic moment: 0.370 μB/atom

a = 3.988 Å, b = 3.988 Å, c = 6.804 Å
α = 90.00°, β = 90.00°, γ = 90.00°
Space group P4/mmm (No. 123)
Inequivalent atoms, fractional coordinates:
Sb: 0.000 0.000 0.000 x1
Te: 0.000 0.000 0.500 x1
P: 0.500 0.500 0.500 x1
N: 0.000 0.500 0.000 x2

16.
DFT (PBE) results for a relaxed Sb2TePN crystal.

## Properties
- D(E_F): 3.33 states/eV/f.u.
- E above lowest polymorph: 0.0000 eV/atom
- Formation energy (no corrections): 0.87 eV per atom
- Total magnetic moment: 0.000 μB/atom

a = 4.814 Å, b = 4.814 Å, c = 4.584 Å
α = 90.00°, β = 90.00°, γ = 90.00°
Space group P4/mmm (No. 123)
Inequivalent atoms, fractional coordinates:
Sb: 0.000 0.500 0.000 x2
Te: 0.000 0.000 0.500 x1
P: 0.500 0.500 0.500 x1
N: 0.000 0.000 0.000 x1

17.
DFT (PBE) results for a relaxed VSbP2N crystal.

## Properties
- D(E_F): 8.30 states/eV/f.u.
- Formation energy (no corrections): 1.58 eV per atom
- Total magnetic moment: 0.009 μB/atom

a = 5.000 Å, b = 5.000 Å, c = 3.919 Å
α = 90.00°, β = 90.00°, γ = 90.00°
Space group P4/mmm (No. 123)
Inequivalent atoms, fractional coordinates:
V: 0.000 0.000 0.000 x1
Sb: 0.500 0.500 0.500 x1
P: 0.000 0.500 0.500 x2
N: 0.500 0.500 0.000 x1

18.
DFT (PBE) results for a relaxed Y3SbPN crystal.

## Properties
- D(E_F): 0.45 states/eV/f.u.
- Formation energy (no corrections): -1.32 eV per atom
- Total magnetic moment: 0.000 μB/atom

a = 8.632 Å, b = 4.079 Å, c = 9.127 Å
α = 90.00°, β = 101.43°, γ = 90.00°
Space group P2_1/m (No. 11)
Inequivalent atoms, fractional coordinates:
Y: 0.079 0.250 0.354 x2
Y: 0.343 0.250 0.986 x2
Y: 0.381 0.750 0.662 x2
Sb: 0.323 0.750 0.287 x2
P: 0.148 0.250 0.660 x2
N: 0.406 0.750 0.900 x2

19.
DFT (PBE) results for a relaxed Sc4P2N crystal.

## Properties
- D(E_F): 7.13 states/eV/f.u.
- E above lowest polymorph: 0.0064 eV/atom
- Formation energy (no corrections): -1.29 eV per atom
- Total magnetic moment: 0.000 μB/atom

a = 4.151 Å, b = 4.151 Å, c = 13.947 Å
α = 90.00°, β = 90.00°, γ = 90.00°
Space group I4/mmm (No. 139)
Inequivalent atoms, fractional coordinates:
Sc: 0.000 0.000 0.170 x4
Sc: 0.000 0.500 0.000 x4
P: 0.000 0.000 0.361 x4
N: 0.000 0.000 0.000 x2

20.
DFT (PBE) results for a relaxed Sc2PN crystal.

## Properties
- D(E_F): 0.95 states/eV/f.u.
- E above lowest polymorph: 0.7508 eV/atom
- Formation energy (no corrections): -0.60 eV per atom
- Total magnetic moment: 0.000 μB/atom

a = 6.171 Å, b = 6.171 Å, c = 6.171 Å
α = 90.00°, β = 90.00°, γ = 90.00°
Space group Fm-3m (No. 225)
Inequivalent atoms, fractional coordinates:
Sc: 0.250 0.250 0.250 x8
P: 0.000 0.000 0.000 x4
N: 0.000 0.000 0.500 x4

21.
DFT (PBE) results for a relaxed Sc4PN2 crystal.

## Properties
- D(E_F): 4.17 states/eV/f.u.
- Formation energy (no corrections): -1.51 eV per atom
- Total magnetic moment: 0.078 μB/atom

a = 3.394 Å, b = 10.860 Å, c = 11.158 Å
α = 90.00°, β = 90.00°, γ = 90.00°
Space group Cmcm (No. 63)
Inequivalent atoms, fractional coordinates:
Sc: 0.000 0.000 0.000 x4
Sc: 0.000 0.264 0.109 x8
Sc: 0.000 0.430 0.750 x4
P: 0.000 0.109 0.750 x4
N: 0.000 0.364 0.560 x8

22.
DFT (PBE) results for a relaxed Sc2PN crystal.

## Properties
- D(E_F): 0.00 states/eV/f.u.
- E above lowest polymorph: 0.4918 eV/atom
- Formation energy (no corrections): -0.86 eV per atom
- Total magnetic moment: 0.000 μB/atom

a = 4.0873 Å, b = 4.0873 Å, c = 19.3593 Å
α = 90.00°, β = 90.00°, γ = 120.00°
Space group R-3m (No. 166, hexagonal axes)
Inequivalent atoms, fractional coordinates:
Sc: 0.0000 0.0000 0.0958 x6
P: 0.0000 0.0000 0.5000 x3
N: 0.0000 0.0000 0.0000 x3

23.
DFT (PBE) results for a relaxed Sc5P2N crystal.

## Properties
- D(E_F): 6.45 states/eV/f.u.
- Formation energy (no corrections): -1.02 eV per atom
- Total magnetic moment: 0.000 μB/atom

a = 5.030 Å, b = 10.475 Å, c = 11.916 Å
α = 90.00°, β = 90.00°, γ = 90.00°
Space group Cmcm (No. 63)
Inequivalent atoms, fractional coordinates:
Sc: 0.000 0.060 0.126 x8
Sc: 0.000 0.285 0.750 x4
Sc: 0.000 0.353 0.109 x8
P: 0.000 0.175 0.559 x8
N: 0.000 0.215 0.250 x4

24.
DFT (PBE) results for a relaxed Sc4P2N crystal.

## Properties
- D(E_F): 7.04 states/eV/f.u.
- E above lowest polymorph: 0.0000 eV/atom
- Formation energy (no corrections): -1.29 eV per atom
- Total magnetic moment: 0.002 μB/atom

a = 10.661 Å, b = 3.480 Å, c = 7.125 Å
α = 90.00°, β = 118.42°, γ = 90.00°
Space group C2/m (No. 12)
Inequivalent atoms, fractional coordinates:
Sc: 0.075 0.000 0.359 x4
Sc: 0.148 0.500 0.058 x4
P: 0.153 0.500 0.689 x4
N: 0.000 0.000 0.000 x2

25.
DFT (PBE) results for a relaxed Sc2PN crystal.

## Properties
- D(E_F): 3.29 states/eV/f.u.
- E above lowest polymorph: 0.4776 eV/atom
- Formation energy (no corrections): -0.88 eV per atom
- Total magnetic moment: 0.000 μB/atom

a = 3.2552 Å, b = 3.2552 Å, c = 22.3801 Å
α = 90.00°, β = 90.00°, γ = 120.00°
Space group R-3m (No. 166, hexagonal axes)
Inequivalent atoms, fractional coordinates:
Sc: 0.0000 0.0000 0.1140 x6
P: 0.0000 0.0000 0.0000 x3
N: 0.0000 0.0000 0.5000 x3